Cu3Ir4 | PBE | optimized geometry

Cell and atoms, written as CIF:
```
data_Cu3Ir4
_chemical_formula_sum 'Cu3 Ir4'
_space_group_name_H-M_alt 'P 1'
_space_group_IT_number 1
_space_group_name_Hall 'P 1'
_cell_length_a 4.6298
_cell_length_b 4.6298
_cell_length_c 5.1051
_cell_angle_alpha 90.00
_cell_angle_beta 90.00
_cell_angle_gamma 120.00
loop_
_atom_site_label
_atom_site_type_symbol
_atom_site_fract_x
_atom_site_fract_y
_atom_site_fract_z
Ir1 Ir 0.6667 0.3333 0.5000
Ir2 Ir 0.3333 0.6667 0.5000
Ir3 Ir 0.0000 0.0000 0.7420
Ir4 Ir 0.0000 0.0000 0.2580
Cu1 Cu 0.5000 0.0000 0.0000
Cu2 Cu 0.0000 0.5000 0.0000
Cu3 Cu 0.5000 0.5000 0.0000
```

Computed properties:
Calculated formation energy   0.31 eV per atom
Total magnetic moment   0.01 μB per cell
VASP energy   -6.508 eV/atom
Volume   95 Å³/f.u.